The following is a PBE calculation of crystalline Ac2Si2Pd at its relaxed geometry, from Alexandria.

Cell lengths 11.451, 4.476, 11.350 Å; angles 90.00, 116.77, 90.00 degrees
Space group C2/m (No. 12)
Asymmetric unit:
Ac  0.106  0.000  0.398 [4 per cell]
Ac  0.212  0.500  0.145 [4 per cell]
Si  0.034  0.000  0.915 [4 per cell]
Si  0.102  0.500  0.608 [4 per cell]
Pd  0.056  0.500  0.813 [4 per cell]



The following is a PBE calculation of crystalline Ac4Si2Pd at its relaxed geometry, from Alexandria.

Cell lengths 9.387, 10.164, 10.329 Å; angles 90.00, 90.00, 90.00 degrees
Space group Imma (No. 74)
Asymmetric unit:
Ac  0.000  0.052  0.205 [8 per cell]
Ac  0.196  0.250  0.549 [8 per cell]
Si  0.000  0.000  0.500 [4 per cell]
Si  0.250  0.250  0.250 [4 per cell]
Pd  0.000  0.250  0.841 [4 per cell]



The following is a PBE calculation of crystalline AcSi3Pd at its relaxed geometry, from Alexandria.

Cell lengths 4.239, 22.447, 4.337 Å; angles 90.00, 90.00, 90.00 degrees
Space group Cmmm (No. 65)
Asymmetric unit:
Ac  0.000  0.168  0.000 [4 per cell]
Si  0.000  0.052  0.500 [4 per cell]
Si  0.000  0.280  0.500 [4 per cell]
Si  0.000  0.448  0.000 [4 per cell]
Pd  0.000  0.394  0.500 [4 per cell]



The following is a PBE calculation of crystalline Ac2SmSi3Pd12 at its relaxed geometry, from Alexandria.

Cell lengths 9.4059, 9.4059, 13.3383 Å; angles 90.00, 90.00, 120.00 degrees
Space group R-3m (No. 166, hexagonal axes)
Asymmetric unit:
Ac  0.0000  0.0000  0.1337 [6 per cell]
Sm  0.0000  0.0000  0.5000 [3 per cell]
Si  0.0000  0.5000  0.0000 [9 per cell]
Pd  0.0034  0.5017  0.8217 [18 per cell]
Pd  0.0439  0.5219  0.3820 [18 per cell]



The following is a PBE calculation of crystalline AcSmSiPd at its relaxed geometry, from Alexandria.

Cell lengths 7.452, 7.452, 7.452 Å; angles 90.00, 90.00, 90.00 degrees
Space group F-43m (No. 216)
Asymmetric unit:
Ac  0.000  0.000  0.000 [4 per cell]
Sm  0.000  0.000  0.500 [4 per cell]
Si  0.250  0.250  0.750 [4 per cell]
Pd  0.250  0.250  0.250 [4 per cell]



The following is a PBE calculation of crystalline Ac4Si3SnPd12 at its relaxed geometry, from Alexandria.

Cell lengths 9.606, 9.606, 9.606 Å; angles 90.00, 90.00, 90.00 degrees
Space group Im-3m (No. 229)
Asymmetric unit:
Ac  0.250  0.250  0.250 [8 per cell]
Si  0.000  0.000  0.500 [6 per cell]
Sn  0.000  0.000  0.000 [2 per cell]
Pd  0.000  0.000  0.266 [12 per cell]
Pd  0.000  0.250  0.500 [12 per cell]



The following is a PBE calculation of crystalline Ac2SiSn4Pd3 at its relaxed geometry, from Alexandria.

Cell lengths 4.733, 4.733, 10.794 Å; angles 90.00, 90.00, 90.00 degrees
Space group P-4m2 (No. 115)
Asymmetric unit:
Ac  0.000  0.500  0.243 [2 per cell]
Si  0.500  0.500  0.000 [1 per cell]
Sn  0.000  0.000  0.500 [1 per cell]
Sn  0.000  0.500  0.873 [2 per cell]
Sn  0.500  0.500  0.500 [1 per cell]
Pd  0.000  0.000  0.000 [1 per cell]
Pd  0.000  0.500  0.629 [2 per cell]



The following is a PBE calculation of crystalline SrAcSiPd at its relaxed geometry, from Alexandria.

Cell lengths 4.3814, 4.3814, 24.0084 Å; angles 90.00, 90.00, 120.00 degrees
Space group R3m (No. 160, hexagonal axes)
Asymmetric unit:
Sr  0.0000  0.0000  0.0000 [3 per cell]
Ac  0.0000  0.0000  0.8327 [3 per cell]
Si  0.0000  0.0000  0.2451 [3 per cell]
Pd  0.0000  0.0000  0.5839 [3 per cell]



The following is a PBE calculation of crystalline SrAcSiPd at its relaxed geometry, from Alexandria.

Cell lengths 7.605, 7.605, 7.605 Å; angles 90.00, 90.00, 90.00 degrees
Space group F-43m (No. 216)
Asymmetric unit:
Sr  0.000  0.000  0.000 [4 per cell]
Ac  0.000  0.000  0.500 [4 per cell]
Si  0.250  0.250  0.750 [4 per cell]
Pd  0.250  0.250  0.250 [4 per cell]



The following is a PBE calculation of crystalline Ac2TbSi3Pd12 at its relaxed geometry, from Alexandria.

Cell lengths 9.3718, 9.3718, 13.3596 Å; angles 90.00, 90.00, 120.00 degrees
Space group R-3m (No. 166, hexagonal axes)
Asymmetric unit:
Ac  0.0000  0.0000  0.1333 [6 per cell]
Tb  0.0000  0.0000  0.5000 [3 per cell]
Si  0.0000  0.5000  0.0000 [9 per cell]
Pd  0.0019  0.5009  0.8221 [18 per cell]
Pd  0.0437  0.5218  0.3813 [18 per cell]



The following is a PBE calculation of crystalline AcTbSiPd at its relaxed geometry, from Alexandria.

Cell lengths 7.398, 7.398, 7.398 Å; angles 90.00, 90.00, 90.00 degrees
Space group F-43m (No. 216)
Asymmetric unit:
Ac  0.000  0.000  0.000 [4 per cell]
Tb  0.000  0.000  0.500 [4 per cell]
Si  0.250  0.250  0.750 [4 per cell]
Pd  0.250  0.250  0.250 [4 per cell]



The following is a PBE calculation of crystalline Ac2TbSi3Pd4 at its relaxed geometry, from Alexandria.

Cell lengths 4.385, 4.385, 11.035 Å; angles 90.00, 90.00, 90.00 degrees
Space group P-4m2 (No. 115)
Asymmetric unit:
Ac  0.000  0.500  0.229 [2 per cell]
Tb  0.000  0.000  0.500 [1 per cell]
Si  0.000  0.500  0.886 [2 per cell]
Si  0.500  0.500  0.500 [1 per cell]
Pd  0.000  0.000  0.000 [1 per cell]
Pd  0.000  0.500  0.660 [2 per cell]
Pd  0.500  0.500  0.000 [1 per cell]



The following is a PBE calculation of crystalline Ac4SiTe2Pd at its relaxed geometry, from Alexandria.

Cell lengths 7.939, 4.575, 8.251 Å; angles 90.00, 108.19, 90.00 degrees
Space group P2/m (No. 10)
Asymmetric unit:
Ac  0.241  0.000  0.221 [2 per cell]
Ac  0.257  0.500  0.778 [2 per cell]
Si  0.000  0.500  0.000 [1 per cell]
Te  0.000  0.000  0.500 [1 per cell]
Te  0.500  0.500  0.500 [1 per cell]
Pd  0.500  0.000  0.000 [1 per cell]



The following is a PBE calculation of crystalline Ac2SiTePd6 at its relaxed geometry, from Alexandria.

Cell lengths 9.768, 9.768, 9.768 Å; angles 90.00, 90.00, 90.00 degrees
Space group Fm-3m (No. 225)
Asymmetric unit:
Ac  0.250  0.250  0.250 [8 per cell]
Si  0.000  0.000  0.000 [4 per cell]
Te  0.000  0.000  0.500 [4 per cell]
Pd  0.000  0.000  0.235 [24 per cell]



The following is a PBE calculation of crystalline Ac2Tl2SiPd4 at its relaxed geometry, from Alexandria.

Cell lengths 6.905, 6.905, 8.928 Å; angles 90.00, 90.00, 90.00 degrees
Space group I4/mmm (No. 139)
Asymmetric unit:
Ac  0.000  0.500  0.250 [4 per cell]
Tl  0.000  0.000  0.171 [4 per cell]
Si  0.000  0.000  0.500 [2 per cell]
Pd  0.242  0.242  0.500 [8 per cell]



The following is a PBE calculation of crystalline Ac2TlSiPd6 at its relaxed geometry, from Alexandria.

Cell lengths 5.728, 9.001, 8.614 Å; angles 90.00, 90.00, 90.00 degrees
Space group Pmmn (No. 59, origin choice 2)
Asymmetric unit:
Ac  0.250  0.000  0.234 [4 per cell]
Tl  0.250  0.250  0.786 [2 per cell]
Si  0.250  0.750  0.723 [2 per cell]
Pd  0.003  0.250  0.504 [4 per cell]
Pd  0.008  0.750  0.950 [4 per cell]
Pd  0.250  0.504  0.598 [4 per cell]



The following is a PBE calculation of crystalline Ac2TmSiPd6 at its relaxed geometry, from Alexandria.

Cell lengths 5.732, 6.654, 6.909 Å; angles 109.80, 110.80, 100.50 degrees
Space group P-1 (No. 2)
Asymmetric unit:
Ac  0.023  0.311  0.162 [2 per cell]
Tm  0.500  0.000  0.500 [1 per cell]
Si  0.500  0.500  0.000 [1 per cell]
Pd  0.035  0.240  0.611 [2 per cell]
Pd  0.373  0.090  0.859 [2 per cell]
Pd  0.404  0.642  0.660 [2 per cell]



The following is a PBE calculation of crystalline AcTmSi2Pd2 at its relaxed geometry, from Alexandria.

Cell lengths 4.4174, 4.4174, 7.5472 Å; angles 90.00, 90.00, 120.00 degrees
Space group P-3m1 (No. 164)
Asymmetric unit:
Ac  0.0000  0.0000  0.0000 [1 per cell]
Tm  0.0000  0.0000  0.5000 [1 per cell]
Si  0.3333  0.6667  0.2896 [2 per cell]
Pd  0.3333  0.6667  0.6912 [2 per cell]



The following is a PBE calculation of crystalline AcTmSiPd at its relaxed geometry, from Alexandria.

Cell lengths 7.344, 7.344, 7.344 Å; angles 90.00, 90.00, 90.00 degrees
Space group F-43m (No. 216)
Asymmetric unit:
Ac  0.000  0.000  0.000 [4 per cell]
Tm  0.000  0.000  0.500 [4 per cell]
Si  0.250  0.250  0.250 [4 per cell]
Pd  0.250  0.250  0.750 [4 per cell]



The following is a PBE calculation of crystalline Ac2ZnSiPd6 at its relaxed geometry, from Alexandria.

Cell lengths 5.668, 6.557, 6.882 Å; angles 75.49, 65.80, 64.49 degrees
Space group P-1 (No. 2)
Asymmetric unit:
Ac  0.241  0.226  0.292 [2 per cell]
Zn  0.500  0.500  0.500 [1 per cell]
Si  0.000  0.000  0.000 [1 per cell]
Pd  0.248  0.241  0.768 [2 per cell]
Pd  0.250  0.615  0.885 [2 per cell]
Pd  0.257  0.760  0.232 [2 per cell]



The following is a PBE calculation of crystalline AcZnSiPd6 at its relaxed geometry, from Alexandria.

Cell lengths 6.633, 9.284, 11.437 Å; angles 90.00, 90.00, 90.00 degrees
Space group Imma (No. 74)
Asymmetric unit:
Ac  0.000  0.250  0.167 [4 per cell]
Zn  0.250  0.250  0.750 [4 per cell]
Si  0.000  0.000  0.500 [4 per cell]
Pd  0.000  0.250  0.437 [4 per cell]
Pd  0.000  0.250  0.915 [4 per cell]
Pd  0.235  0.014  0.872 [16 per cell]



The following is a PBE calculation of crystalline Ac3Zn2SiPd9 at its relaxed geometry, from Alexandria.

Cell lengths 6.0017, 6.0017, 10.4526 Å; angles 90.00, 90.00, 120.00 degrees
Space group P-3m1 (No. 164)
Asymmetric unit:
Ac  0.0000  0.0000  0.0000 [1 per cell]
Ac  0.3333  0.6667  0.7052 [2 per cell]
Zn  0.3333  0.6667  0.1771 [2 per cell]
Si  0.0000  0.0000  0.5000 [1 per cell]
Pd  0.0000  0.5000  0.0000 [3 per cell]
Pd  0.1777  0.3555  0.3684 [6 per cell]



Fermi-level density of states values (in states/eV/f.u.) by entry order: 2.81 5.95 2.39 7.82 1.92 8.96 4.34 3.95 2.80 7.99 2.02 6.23 6.44 1.91 4.28 4.43 5.97 4.14 1.69 4.10 3.00 4.39.
Uncorrected formation energy values (in eV/atom) by entry order: -0.760 -0.424 -0.552 -0.495 -0.569 -0.644 -0.683 -0.604 -0.473 -0.505 -0.576 -0.846 -1.085 -0.643 -0.547 -0.703 -0.700 -0.906 -0.573 -0.750 -0.392 -0.656.
Energy values (in eV/atom) by entry order: -5.611 -5.063 -5.666 -5.579 -5.430 -5.595 -5.206 -4.706 -4.574 -5.584 -5.415 -5.835 -5.252 -5.437 -4.896 -5.419 -5.627 -5.875 -5.372 -5.357 -5.055 -5.125.